Record 1
Ba9Sr2Ac after structural relaxation, computed with PBE.

Summary:
As for the space group: No. 123. The density of states at the Fermi level comes out at 18.33 states/eV/cell. As for the density: 3.8 Mg/m³. Its total energy is -2.02 eV/atom.

a b c (Å): 6.182 6.182 18.763
angles (deg): 90.00 90.00 90.00
Atoms (fractional coordinates):
Ba (0.000, 0.000, 0.000)
Ba (0.000, 0.000, 0.329)
Ba (0.000, 0.000, 0.671)
Ba (0.000, 0.500, 0.159)
Ba (0.000, 0.500, 0.500)
Ba (0.000, 0.500, 0.841)
Ba (0.500, 0.000, 0.159)
Ba (0.500, 0.000, 0.500)
Ba (0.500, 0.000, 0.841)
Sr (0.500, 0.500, 0.328)
Sr (0.500, 0.500, 0.672)
Ac (0.500, 0.500, 0.000)

---

Record 2
Pm2TlSn9 after structural relaxation, computed with PBE.

Summary:
As for the space group: No. 123. The density of states at the Fermi level comes out at 4.45 states/eV/cell. As for the density: 7.9 Mg/m³. Its total energy is -4.29 eV/atom.

a b c (Å): 4.760 4.760 14.553
angles (deg): 90.00 90.00 90.00
Atoms (fractional coordinates):
Pm (0.000, 0.000, 0.157)
Pm (0.000, 0.000, 0.843)
Tl (0.000, 0.000, 0.500)
Sn (0.000, 0.500, 0.000)
Sn (0.000, 0.500, 0.331)
Sn (0.000, 0.500, 0.669)
Sn (0.500, 0.000, 0.000)
Sn (0.500, 0.000, 0.331)
Sn (0.500, 0.000, 0.669)
Sn (0.500, 0.500, 0.167)
Sn (0.500, 0.500, 0.500)
Sn (0.500, 0.500, 0.833)

---

| no. | DFT formation energy (eV per atom) |
| --- | --- |
| 1 | 0.046 |
| 2 | -0.303 |